(1)
Pm2TmIn2Rh5 | Alexandria | PBE-GGA | optimized geometry; Fermi-level density of states = 12.02 states/eV per cell; total moment = 0.00 μB/cell; space-group type = P4/mbm; calculated total energy = -6.16 eV per atom; V = 20.2 A^3/atom; crystal system = tetragonal
1.0
-2.092 -1.705 -2.554
3.734 -9.231 3.102
-7.768 -0.821 6.911
Pm Tm In Rh
4 2 4 10
direct
0.000 0.670 0.170
0.000 0.330 0.830
0.000 0.170 0.330
0.000 0.830 0.670
0.000 0.000 0.000
0.000 0.500 0.500
0.000 0.128 0.628
0.000 0.872 0.372
0.000 0.628 0.872
0.000 0.372 0.128
0.500 0.201 0.062
0.500 0.799 0.938
0.500 0.062 0.799
0.500 0.701 0.438
0.500 0.938 0.201
0.500 0.299 0.562
0.500 0.562 0.701
0.500 0.438 0.299
0.500 0.500 0.000
0.500 0.000 0.500

(2)
Ce8SeS6 | Alexandria | PBE-GGA | optimized geometry; Fermi-level density of states = 44.83 states/eV per cell; total moment = 9.18 μB/cell; space-group type = P-3; calculated total energy = -6.59 eV per atom; ΔE_f (raw) = -149.1 kJ/mol of atoms; V = 25.2 A^3/atom; crystal system = trigonal
1.0
4.127 0.000 0.000
0.000 8.913 -5.146
0.000 0.000 10.292
Ce Se S
8 1 6
direct
0.742 0.964 0.295
0.742 0.705 0.669
0.742 0.331 0.036
0.258 0.036 0.705
0.258 0.295 0.331
0.258 0.669 0.964
0.747 0.333 0.667
0.253 0.667 0.333
0.500 0.000 0.000
0.754 0.649 0.132
0.754 0.868 0.517
0.754 0.483 0.351
0.246 0.351 0.868
0.246 0.132 0.483
0.246 0.517 0.649

(3)
ErMgBeAu | Alexandria | PBE-GGA | optimized geometry; Fermi-level density of states = 1.19 states/eV per cell; total moment = 0.00 μB/cell; space-group type = F-43m; calculated total energy = -3.61 eV per atom; V = 18.8 A^3/atom; crystal system = cubic
1.0
4.742 0.000 0.000
2.371 4.107 0.000
2.371 1.369 3.872
Be Mg Au Er
1 1 1 1
direct
0.000 0.000 0.000
0.750 0.750 0.750
0.500 0.500 0.500
0.250 0.250 0.250

(4)
Dy2MnRh | Alexandria | PBE-GGA | optimized geometry; Fermi-level density of states = 3.73 states/eV per cell; total moment = 2.86 μB/cell; space-group type = P4/mmm; calculated total energy = -6.76 eV per atom; V = 21.0 A^3/atom; crystal system = tetragonal
1.0
-2.283 -2.243 -1.353
1.579 0.254 -3.085
4.185 -5.288 1.706
Mn Rh Dy
1 1 2
direct
0.500 0.500 0.500
0.500 0.500 0.000
0.000 0.000 0.761
0.000 0.000 0.239